Record 1
VASP calculation (PBE) on Ac2TbNd after structural relaxation.

a = 12.337 Å, b = 12.337 Å, c = 12.337 Å
α = 17.91°, β = 17.91°, γ = 17.91°
Positions (direct):
1 Ac 0.249 0.249 0.249
2 Ac 0.751 0.751 0.751
3 Tb 0.500 0.500 0.500
4 Nd 0.000 0.000 0.000

Output
Fermi-level density of states, states/eV/f.u.: 5.05
E above lowest polymorph, meV/atom: 2
Total magnetization, μB per atom: 0.000
Formation energy, meV per atom: 36.1
Calculated volume, Å³ per atom: 38.8
Space group: R-3m, No. 166


Record 2
VASP calculation (PBE) on Li3ZnC after structural relaxation.

a = 4.588 Å, b = 4.588 Å, c = 4.588 Å
α = 90.00°, β = 90.00°, γ = 90.00°
Positions (direct):
1 Li 0.000 0.000 0.500
2 Li 0.000 0.500 0.000
3 Li 0.500 0.000 0.000
4 Zn 0.000 0.000 0.000
5 C 0.500 0.500 0.500

Output
Fermi-level density of states, states/eV/f.u.: 1.53
E above lowest polymorph, meV/atom: 918
Total magnetization, μB per atom: 0.200
Formation energy, meV per atom: 1330.3
Calculated volume, Å³ per atom: 19.3
Space group: Pm-3m, No. 221


Record 3
VASP calculation (PBE) on In2SeCl after structural relaxation.

a = 4.123 Å, b = 4.123 Å, c = 7.364 Å
α = 90.00°, β = 90.00°, γ = 90.00°
Positions (direct):
1 In 0.000 0.000 0.000
2 In 0.500 0.500 0.492
3 Se 0.000 0.000 0.461
4 Cl 0.500 0.500 0.870

Output
Fermi-level density of states, states/eV/f.u.: 0.54
E above lowest polymorph, meV/atom: 18
Total magnetization, μB per atom: 0.000
Calculated volume, Å³ per atom: 31.3
Space group: P4mm, No. 99
Energy relative to the elements, uncorrected, eV/atom: -0.54